The following is a PBE calculation of a relaxed Na2CaPdBr crystal, from the Alexandria database.

Structure (CIF):
```
data_Na2CaPdBr
_space_group_name_H-M_alt 'P 1'
_space_group_IT_number 1
_cell_length_a 6.597
_cell_length_b 4.973
_cell_length_c 6.597
_cell_angle_alpha 90.00
_cell_angle_beta 90.00
_cell_angle_gamma 90.00
loop_
_space_group_symop_operation_xyz
'x,y,z'
loop_
_atom_site_label
_atom_site_fract_x
_atom_site_fract_y
_atom_site_fract_z
Br1 0.500 0.500 0.500
Na1 0.000 0.000 0.500
Na2 0.500 0.000 0.000
Ca1 0.000 0.000 0.000
Pd1 0.000 0.500 0.000
```

Output
* raw formation energy: 0.5 eV per formula unit
* total magnetic moment: 0.00 μB per formula unit
* calculated density: 2.09 g cm⁻³